Record 1
{
  "formula": "ThP4Ru4",
  "functional": "PBE-GGA",
  "state": "optimized geometry",
  "lattice_angstrom": [[-0.970, -5.917, 0.122], [1.223, -0.321, -5.862], [7.482, -1.194, 1.627]],
  "species": ["Th", "Th", "P", "P", "P", "P", "P", "P", "P", "P", "Ru", "Ru", "Ru", "Ru", "Ru", "Ru", "Ru", "Ru"],
  "frac_coords": [[0.000, 0.000, 0.000], [0.500, 0.500, 0.500], [0.500, 0.790, 0.822], [0.500, 0.210, 0.822], [0.790, 0.500, 0.178], [0.210, 0.500, 0.178], [0.290, 0.000, 0.322], [0.710, 0.000, 0.322], [0.000, 0.290, 0.678], [0.000, 0.710, 0.678], [0.226, 0.500, 0.876], [0.774, 0.500, 0.876], [0.500, 0.774, 0.124], [0.500, 0.226, 0.124], [0.000, 0.726, 0.376], [0.000, 0.274, 0.376], [0.274, 0.000, 0.624], [0.726, 0.000, 0.624]],
  "crystal_system": "tetragonal",
  "density_g_cm3": 9.06,
  "spacegroup": "P4_2/nmc, No. 137",
  "final_energy_ev_per_atom": -7.998
}



Record 2
{
  "formula": "RbGe2IrPb",
  "functional": "PBE-GGA",
  "state": "optimized geometry",
  "lattice_angstrom": [[4.835, 0.000, 0.000], [0.000, 6.204, 0.000], [0.000, 0.000, 4.835]],
  "species": ["Pb", "Ge", "Ge", "Ir", "Rb"],
  "frac_coords": [[0.500, 0.500, 0.500], [0.000, 0.000, 0.500], [0.500, 0.000, 0.000], [0.000, 0.000, 0.000], [0.000, 0.500, 0.000]],
  "crystal_system": "tetragonal",
  "density_g_cm3": 7.21,
  "spacegroup": "P4/mmm, No. 123",
  "final_energy_ev_per_atom": -4.194
}



Record 3
{
  "formula": "MnCrH",
  "functional": "PBE-GGA",
  "state": "optimized geometry",
  "lattice_angstrom": [[2.308, 0.131, 0.918], [1.283, 2.375, 0.578], [0.435, -1.361, 11.277]],
  "species": ["Mn", "Mn", "Cr", "Cr", "H", "H"],
  "frac_coords": [[0.360, 0.424, 0.789], [0.640, 0.576, 0.211], [0.212, 0.193, 0.404], [0.788, 0.807, 0.596], [0.539, 0.173, 0.118], [0.461, 0.827, 0.882]],
  "crystal_system": "triclinic",
  "density_g_cm3": 6.05,
  "spacegroup": "P-1, No. 2",
  "final_energy_ev_per_atom": -7.274
}



Record 4
{
  "formula": "LiZnRh2",
  "functional": "PBE-GGA",
  "state": "optimized geometry",
  "lattice_angstrom": [[8.597, -0.004, -0.002], [8.156, 2.719, -0.002], [8.156, 1.322, 2.376]],
  "species": ["Zn", "Rh", "Rh", "Li"],
  "frac_coords": [[0.250, 0.250, 0.250], [0.999, 0.999, 0.999], [0.501, 0.501, 0.501], [0.750, 0.750, 0.750]],
  "crystal_system": "trigonal",
  "density_g_cm3": 8.30,
  "spacegroup": "R-3m, No. 166",
  "final_energy_ev_per_atom": -4.665
}



Record 5
{
  "formula": "ZnGa3P",
  "functional": "PBE-GGA",
  "state": "optimized geometry",
  "lattice_angstrom": [[4.764, 0.000, 0.000], [0.000, 4.764, 0.000], [0.000, 0.000, 4.764]],
  "species": ["P", "Zn", "Ga", "Ga", "Ga"],
  "frac_coords": [[0.500, 0.500, 0.500], [0.000, 0.000, 0.000], [0.000, 0.500, 0.000], [0.000, 0.000, 0.500], [0.500, 0.000, 0.000]],
  "crystal_system": "cubic",
  "density_g_cm3": 4.69,
  "spacegroup": "Pm-3m, No. 221",
  "final_energy_ev_per_atom": -2.643
}



Record 6
{
  "formula": "TmMg2Hg3",
  "functional": "PBE-GGA",
  "state": "optimized geometry",
  "lattice_angstrom": [[5.017, 0.000, 0.000], [-2.508, 4.345, 0.000], [0.000, 0.000, 12.272]],
  "species": ["Tm", "Tm", "Mg", "Mg", "Mg", "Mg", "Hg", "Hg", "Hg", "Hg", "Hg", "Hg"],
  "frac_coords": [[0.333, 0.667, 0.664], [0.667, 0.333, 0.336], [0.000, 0.000, 0.500], [0.333, 0.667, 0.165], [0.667, 0.333, 0.835], [0.000, 0.000, 0.000], [0.333, 0.667, 0.415], [0.667, 0.333, 0.083], [0.000, 0.000, 0.757], [0.000, 0.000, 0.243], [0.333, 0.667, 0.917], [0.667, 0.333, 0.585]],
  "crystal_system": "trigonal",
  "density_g_cm3": 10.17,
  "spacegroup": "P-3m1, No. 164",
  "final_energy_ev_per_atom": -1.785
}



Record 7
{
  "formula": "In2ClF2",
  "functional": "PBE-GGA",
  "state": "optimized geometry",
  "lattice_angstrom": [[-3.113, -1.636, 7.496], [7.647, 0.000, 3.176], [-0.241, 3.121, 0.581]],
  "species": ["F", "F", "F", "F", "Cl", "Cl", "In", "In", "In", "In"],
  "frac_coords": [[0.367, 0.867, 0.000], [0.867, 0.633, 0.000], [0.633, 0.133, 0.000], [0.133, 0.367, 0.000], [0.000, 0.000, 0.000], [0.500, 0.500, 0.000], [0.234, 0.734, 0.500], [0.734, 0.766, 0.500], [0.766, 0.266, 0.500], [0.266, 0.234, 0.500]],
  "formation_energy_uncorrected_ev_per_fu": -6.50,
  "crystal_system": "tetragonal",
  "density_g_cm3": 4.61,
  "spacegroup": "P4/mbm, No. 127"
}



Record 8
{
  "formula": "CaTaPb",
  "functional": "PBE-GGA",
  "state": "optimized geometry",
  "lattice_angstrom": [[6.241, 0.000, 0.001], [4.080, 4.722, -0.001], [-4.952, -2.816, 2.548]],
  "species": ["Pb", "Ca", "Ta"],
  "frac_coords": [[0.315, 0.315, 0.000], [0.003, 0.003, 0.000], [0.682, 0.682, 0.000]],
  "crystal_system": "orthorhombic",
  "density_g_cm3": 9.47,
  "spacegroup": "Imm2, No. 44",
  "final_energy_ev_per_atom": -5.393
}



Record 9
{
  "formula": "LaTe",
  "functional": "PBE-GGA",
  "state": "optimized geometry",
  "lattice_angstrom": [[7.534, 0.768, 0.520], [5.086, 5.611, 0.520], [5.086, 2.571, 5.014]],
  "species": ["La", "La", "Te", "Te"],
  "frac_coords": [[0.248, 0.248, 0.248], [0.752, 0.752, 0.752], [0.094, 0.094, 0.094], [0.906, 0.906, 0.906]],
  "formation_energy_uncorrected_ev_per_fu": -2.04,
  "crystal_system": "trigonal",
  "density_g_cm3": 5.02,
  "spacegroup": "R-3m, No. 166"
}



Record 10
{
  "formula": "Cs2PrGeO4",
  "functional": "PBE-GGA",
  "state": "optimized geometry",
  "lattice_angstrom": [[6.004, 0.000, 0.000], [3.002, 6.726, 0.000], [3.002, 0.000, 12.674]],
  "species": ["Cs", "Cs", "Cs", "Cs", "Pr", "Pr", "Ge", "Ge", "O", "O", "O", "O", "O", "O", "O", "O"],
  "frac_coords": [[0.183, 0.000, 0.635], [0.817, 0.000, 0.365], [0.567, 0.500, 0.865], [0.933, 0.500, 0.135], [0.750, 0.500, 0.500], [0.000, 0.000, 0.000], [0.250, 0.500, 0.500], [0.500, 0.000, 0.000], [0.350, 0.841, 0.071], [0.262, 0.159, 0.929], [0.809, 0.841, 0.929], [0.578, 0.159, 0.071], [0.400, 0.659, 0.429], [0.488, 0.341, 0.571], [0.941, 0.659, 0.571], [0.172, 0.341, 0.429]],
  "formation_energy_uncorrected_ev_per_fu": -13.89,
  "crystal_system": "orthorhombic",
  "density_g_cm3": 3.53,
  "spacegroup": "Fddd, No. 70"
}



Record 11
{
  "formula": "FePIr2",
  "functional": "PBE-GGA",
  "state": "optimized geometry",
  "lattice_angstrom": [[-1.602, -4.672, 1.404], [-1.311, -3.402, -3.616], [3.640, 2.994, 2.037]],
  "species": ["Fe", "Ir", "Ir", "P"],
  "frac_coords": [[0.250, 0.750, 0.500], [0.962, 0.962, 0.000], [0.538, 0.538, 0.000], [0.750, 0.250, 0.500]],
  "crystal_system": "orthorhombic",
  "density_g_cm3": 14.32,
  "spacegroup": "Immm, No. 71",
  "final_energy_ev_per_atom": -7.950
}



Record 12
{
  "formula": "SiC4",
  "functional": "PBE-GGA",
  "state": "optimized geometry",
  "lattice_angstrom": [[-3.643, 0.507, 4.611], [-5.267, 2.318, 1.295], [3.547, -3.183, -3.476]],
  "species": ["Si", "C", "C", "C", "C"],
  "frac_coords": [[0.000, 0.000, 0.000], [0.750, 0.250, 0.500], [0.250, 0.750, 0.500], [0.817, 0.817, 0.000], [0.183, 0.183, 0.000]],
  "formation_energy_uncorrected_ev_per_fu": 9.15,
  "crystal_system": "tetragonal",
  "density_g_cm3": 2.70,
  "spacegroup": "I4/mmm, No. 139"
}



What did the first record say?
{
  "formula": "ThP4Ru4",
  "functional": "PBE-GGA",
  "state": "optimized geometry",
  "lattice_angstrom": [[-0.970, -5.917, 0.122], [1.223, -0.321, -5.862], [7.482, -1.194, 1.627]],
  "species": ["Th", "Th", "P", "P", "P", "P", "P", "P", "P", "P", "Ru", "Ru", "Ru", "Ru", "Ru", "Ru", "Ru", "Ru"],
  "frac_coords": [[0.000, 0.000, 0.000], [0.500, 0.500, 0.500], [0.500, 0.790, 0.822], [0.500, 0.210, 0.822], [0.790, 0.500, 0.178], [0.210, 0.500, 0.178], [0.290, 0.000, 0.322], [0.710, 0.000, 0.322], [0.000, 0.290, 0.678], [0.000, 0.710, 0.678], [0.226, 0.500, 0.876], [0.774, 0.500, 0.876], [0.500, 0.774, 0.124], [0.500, 0.226, 0.124], [0.000, 0.726, 0.376], [0.000, 0.274, 0.376], [0.274, 0.000, 0.624], [0.726, 0.000, 0.624]],
  "crystal_system": "tetragonal",
  "density_g_cm3": 9.06,
  "spacegroup": "P4_2/nmc, No. 137",
  "final_energy_ev_per_atom": -7.998
}